(1)
# HfTlS2 PBE optimized geometry
# E: -96.5 eV/cell
# Fermi-level density of states: 1.53 states/eV/f.u.
# Magnetization: 0.00 μB per cell
# Uncorrected formation energy: -0.885 eV per atom
data_HfTlS2
_cell_length_a 7.818
_cell_length_b 11.347
_cell_length_c 6.334
_cell_angle_alpha 90.00
_cell_angle_beta 124.76
_cell_angle_gamma 90.00
_space_group_name_H-M_alt 'C 1 2/c 1'
_space_group_IT_number 15
loop_
_space_group_symop_operation_xyz
'x,y,z'
'-x,-y,-z'
'-x,y,-z+1/2'
'x,-y,z+1/2'
'x+1/2,y+1/2,z'
'-x+1/2,-y+1/2,-z'
'-x+1/2,y+1/2,-z+1/2'
'x+1/2,-y+1/2,z+1/2'
loop_
_atom_site_label
_atom_site_type_symbol
_atom_site_fract_x
_atom_site_fract_y
_atom_site_fract_z
_atom_site_occupancy
Hf1 Hf 0.000 0.234 0.250 1
Tl1 Tl 0.000 0.086 0.750 1
S1 S 0.169 0.358 0.629 1

=====

(2)
# SiBPd PBE optimized geometry
# E: -34.9 eV/cell
# Fermi-level density of states: 0.63 states/eV/f.u.
# Magnetization: 0.00 μB per cell
# Uncorrected formation energy: -0.059 eV per atom
data_SiBPd
_cell_length_a 3.080
_cell_length_b 3.496
_cell_length_c 7.859
_cell_angle_alpha 98.41
_cell_angle_beta 90.01
_cell_angle_gamma 116.00
_space_group_name_H-M_alt 'P 1'
_space_group_IT_number 1
loop_
_space_group_symop_operation_xyz
'x,y,z'
loop_
_atom_site_label
_atom_site_type_symbol
_atom_site_fract_x
_atom_site_fract_y
_atom_site_fract_z
_atom_site_occupancy
Si1 Si 0.000 0.000 0.000 1
Si2 Si 0.431 0.859 0.641 1
B1 B 0.164 0.326 0.759 1
B2 B 0.687 0.374 0.880 1
Pd1 Pd 0.066 0.133 0.456 1
Pd2 Pd 0.708 0.419 0.183 1

=====

(3)
# B5C7 PBE optimized geometry
# Energy above the lowest structure with this stoichiometry: 101 meV/atom
# ΔE_f: 8.28 kcal/mol of atoms
# E: -93.6 eV/cell
# Fermi-level density of states: 3.22 states/eV/f.u.
# Magnetization: 0.00 μB per cell
data_B5C7
_cell_length_a 2.5453
_cell_length_b 2.5453
_cell_length_c 13.8533
_cell_angle_alpha 90.00
_cell_angle_beta 90.00
_cell_angle_gamma 120.00
_space_group_name_H-M_alt 'P 3 m 1'
_space_group_IT_number 156
loop_
_space_group_symop_operation_xyz
'x,y,z'
'-y,x-y,z'
'-x+y,-x,z'
'-y,-x,z'
'-x+y,y,z'
'x,x-y,z'
loop_
_atom_site_label
_atom_site_type_symbol
_atom_site_fract_x
_atom_site_fract_y
_atom_site_fract_z
_atom_site_occupancy
B1 B 0.0000 0.0000 0.0000 1
B2 B 0.0000 0.0000 0.1205 1
B3 B 0.0000 0.0000 0.6135 1
B4 B 0.3333 0.6667 0.1963 1
B5 B 0.6667 0.3333 0.9238 1
C1 C 0.0000 0.0000 0.4958 1
C2 C 0.3333 0.6667 0.3108 1
C3 C 0.3333 0.6667 0.6618 1
C4 C 0.3333 0.6667 0.7709 1
C5 C 0.6667 0.3333 0.3470 1
C6 C 0.6667 0.3333 0.4609 1
C7 C 0.6667 0.3333 0.8096 1

=====

(4)
# Mg2CdMo PBE optimized geometry
# ΔE_f: 3.61 kcal/mol of atoms
# E: -28.6 eV/cell
# Fermi-level density of states: 1.06 states/eV/f.u.
# Magnetization: 0.00 μB per cell
data_Mg2CdMo
_cell_length_a 3.705
_cell_length_b 4.398
_cell_length_c 9.274
_cell_angle_alpha 90.00
_cell_angle_beta 90.00
_cell_angle_gamma 90.00
_space_group_name_H-M_alt 'C m m m'
_space_group_IT_number 65
_space_group_name_Hall '-C 2 2'
loop_
_atom_site_label
_atom_site_type_symbol
_atom_site_fract_x
_atom_site_fract_y
_atom_site_fract_z
_atom_site_occupancy
Mg1 Mg 0.000 0.000 0.234 1
Cd1 Cd 0.000 0.500 0.500 1
Mo1 Mo 0.000 0.500 0.000 1

=====

(5)
# PmScAgSb PBE optimized geometry
# E: -80.3 eV/cell
# Fermi-level density of states: 4.63 states/eV/f.u.
# Magnetization: 2.68 μB per cell
# Uncorrected formation energy: -0.504 eV per atom
data_PmScAgSb
_cell_length_a 7.302
_cell_length_b 7.302
_cell_length_c 7.302
_cell_angle_alpha 90.00
_cell_angle_beta 90.00
_cell_angle_gamma 90.00
_space_group_name_H-M_alt 'F -4 3 m'
_space_group_IT_number 216
_space_group_name_Hall 'F -4 2 3'
loop_
_atom_site_label
_atom_site_type_symbol
_atom_site_fract_x
_atom_site_fract_y
_atom_site_fract_z
_atom_site_occupancy
Pm1 Pm 0.000 0.000 0.000 1
Sc1 Sc 0.000 0.000 0.500 1
Ag1 Ag 0.250 0.250 0.250 1
Sb1 Sb 0.250 0.250 0.750 1

=====

(6)
# TaIn2P PBE optimized geometry
# ΔE_f: 9.98 kcal/mol of atoms
# E: -42.0 eV/cell
# Fermi-level density of states: 2.41 states/eV/f.u.
# Magnetization: 0.00 μB per cell
data_TaIn2P
_cell_length_a 5.396
_cell_length_b 10.124
_cell_length_c 3.231
_cell_angle_alpha 90.00
_cell_angle_beta 114.48
_cell_angle_gamma 90.00
_space_group_name_H-M_alt 'C 1 2/m 1'
_space_group_IT_number 12
loop_
_space_group_symop_operation_xyz
'x,y,z'
'-x,-y,-z'
'-x,y,-z'
'x,-y,z'
'x+1/2,y+1/2,z'
'-x+1/2,-y+1/2,-z'
'-x+1/2,y+1/2,-z'
'x+1/2,-y+1/2,z'
loop_
_atom_site_label
_atom_site_type_symbol
_atom_site_fract_x
_atom_site_fract_y
_atom_site_fract_z
_atom_site_occupancy
Ta1 Ta 0.000 0.000 0.000 1
In1 In 0.250 0.250 0.500 1
P1 P 0.000 0.500 0.000 1

=====

(7)
# P2IrAu PBE optimized geometry
# Energy above the lowest structure with this stoichiometry: 634 meV/atom
# ΔE_f: 9.43 kcal/mol of atoms
# E: -85.3 eV/cell
# Fermi-level density of states: 2.08 states/eV/f.u.
# Magnetization: 0.00 μB per cell
data_P2IrAu
_cell_length_a 6.240
_cell_length_b 6.240
_cell_length_c 6.240
_cell_angle_alpha 90.00
_cell_angle_beta 90.00
_cell_angle_gamma 90.00
_space_group_name_H-M_alt 'F m -3 m'
_space_group_IT_number 225
_space_group_name_Hall '-F 4 2 3'
loop_
_atom_site_label
_atom_site_type_symbol
_atom_site_fract_x
_atom_site_fract_y
_atom_site_fract_z
_atom_site_occupancy
P1 P 0.250 0.250 0.250 1
Ir1 Ir 0.000 0.000 0.000 1
Au1 Au 0.000 0.000 0.500 1

=====

(8)
# Pa2GaN PBE optimized geometry
# Energy above the lowest structure with this stoichiometry: 0 meV/atom
# E: -101.0 eV/cell
# Fermi-level density of states: 2.16 states/eV/f.u.
# Magnetization: 0.00 μB per cell
# Uncorrected formation energy: -0.834 eV per atom
data_Pa2GaN
_cell_length_a 3.3295
_cell_length_b 3.3295
_cell_length_c 23.8033
_cell_angle_alpha 90.00
_cell_angle_beta 90.00
_cell_angle_gamma 120.00
_space_group_name_H-M_alt 'R -3 m'
_space_group_IT_number 166
_space_group_name_Hall '-R 3 2"'
loop_
_atom_site_label
_atom_site_type_symbol
_atom_site_fract_x
_atom_site_fract_y
_atom_site_fract_z
_atom_site_occupancy
Pa1 Pa 0.0000 0.0000 0.2298 1
Ga1 Ga 0.0000 0.0000 0.0000 1
N1 N 0.0000 0.0000 0.5000 1